(1)
## ReW2S2 (PBE-GGA)

Data for a relaxed ReW2S2 crystal.

abc: 3.5669 3.5669 6.6553
angles: 74.46 74.46 90.00
Closest atoms and distances in Å follow each position.
Element x y z (fractional)
1 Re 0.0000 0.0000 0.0000  8 W 2.88
2 S 0.7500 0.2500 0.5000  4 W 2.45, 4 S 2.52
3 S 0.2500 0.7500 0.5000  4 W 2.45, 4 S 2.52
4 W 0.3869 0.3869 0.2263  4 S 2.45
5 W 0.6131 0.6131 0.7737  4 S 2.45

Results
- excess energy over the best structure of this formula in the dataset (meV/atom) = 0.0
- E_tot (eV/atom) = -8.680
- size of the total moment (Bohr magnetons per cell) = 0.0
- DOS(E_F) (states/eV/f.u.) = 4.1

(2)
## NiHSe2 (PBE-GGA)

Data for a relaxed NiHSe2 crystal.

abc: 16.5814 5.1000 7.0007
angles: 90.00 147.63 90.00
Closest atoms and distances in Å follow each position.
Element x y z (fractional)
1 Ni 0.2501 0.2495 0.2501  2 H 1.63
2 Ni 0.7499 0.7505 0.7499  2 H 1.63
3 Ni 0.2499 0.7495 0.2499  2 H 1.63
4 Ni 0.7501 0.2505 0.7501  2 H 1.63
5 Se 0.8659 0.0005 0.7275  1 Se 2.38, 2 Ni 2.42
6 Se 0.1341 0.9995 0.2725  1 Se 2.38, 2 Ni 2.42
7 Se 0.6341 0.5005 0.7725  1 Se 2.38, 2 Ni 2.42
8 Se 0.3659 0.4995 0.2275  1 Se 2.38, 2 Ni 2.42
9 Se 0.1340 0.9995 0.7637  1 Se 2.38, 2 Ni 2.42
10 Se 0.8660 0.0005 0.2363  1 Se 2.38, 2 Ni 2.42
11 Se 0.3660 0.4995 0.7363  1 Se 2.38, 2 Ni 2.42
12 Se 0.6340 0.5005 0.2637  1 Se 2.38, 2 Ni 2.42
13 H 0.6362 0.0007 0.5223  2 Ni 1.63
14 H 0.3638 0.9993 0.4777  2 Ni 1.63
15 H 0.8638 0.5007 0.9777  2 Ni 1.63
16 H 0.1362 0.4993 0.0223  2 Ni 1.63

Results
- excess energy over the best structure of this formula in the dataset (meV/atom) = 69.3
- E_tot (eV/atom) = -4.089
- size of the total moment (Bohr magnetons per cell) = 0.0
- DOS(E_F) (states/eV/f.u.) = 2.0

(3)
## Tb2IrO6 (PBE-GGA)

Data for a relaxed Tb2IrO6 crystal.

abc: 5.4038 5.8713 7.7383
angles: 90.00 96.25 90.00
Closest atoms and distances in Å follow each position.
Element x y z (fractional)
1 Tb 0.9592 0.4106 0.7599  7 O 2.27-2.54
2 Tb 0.5408 0.9106 0.7401  7 O 2.27-2.54
3 Tb 0.4592 0.0894 0.2599  7 O 2.27-2.54
4 Tb 0.0408 0.5894 0.2401  7 O 2.27-2.54
5 Ir 0.5000 0.5000 0.0000  6 O 1.94-1.97
6 Ir 0.0000 0.0000 0.5000  6 O 1.94-1.97
7 O 0.8429 0.9300 0.2688  1 Ir 1.94
8 O 0.8529 0.7247 0.5875  1 Ir 1.95
9 O 0.7974 0.6680 0.9473  1 Ir 1.97
10 O 0.7026 0.1680 0.5527  1 Ir 1.97
11 O 0.6471 0.2247 0.9125  1 Ir 1.95
12 O 0.6571 0.4300 0.2312  1 Ir 1.94
13 O 0.1571 0.0700 0.7312  1 Ir 1.94
14 O 0.1471 0.2753 0.4125  1 Ir 1.95
15 O 0.2026 0.3320 0.0527  1 Ir 1.97
16 O 0.2974 0.8320 0.4473  1 Ir 1.97
17 O 0.3529 0.7753 0.0875  1 Ir 1.95
18 O 0.3429 0.5700 0.7688  1 Ir 1.94

Results
- excess energy over the best structure of this formula in the dataset (meV/atom) = 0.0
- E_tot (eV/atom) = -7.550
- size of the total moment (Bohr magnetons per cell) = 5.5
- DOS(E_F) (states/eV/f.u.) = 2.6

(4)
## Ta3BeZn (PBE-GGA)

Data for a relaxed Ta3BeZn crystal.

abc: 4.3942 4.3942 4.3942
angles: 90.00 90.00 90.00
Closest atoms and distances in Å follow each position.
Element x y z (fractional)
1 Be 0.0000 0.0000 0.0000  6 Ta 2.20
2 Zn 0.5000 0.5000 0.5000  12 Ta 3.11
3 Ta 0.0000 0.5000 0.0000  2 Be 2.20
4 Ta 0.0000 0.0000 0.5000  2 Be 2.20
5 Ta 0.5000 0.0000 0.0000  2 Be 2.20

Results
- excess energy over the best structure of this formula in the dataset (meV/atom) = 0.0
- E_tot (eV/atom) = -7.563
- size of the total moment (Bohr magnetons per cell) = 0.0
- DOS(E_F) (states/eV/f.u.) = 4.7
- energy of formation from the pure elements (eV per atom) = 0.548